DFT (GGA-PBEsol) results for a relaxed Tl2CdRhW crystal.

Unit cell a=4.9143 b=5.1565 c=5.1565 alpha=90.00 beta=90.00 gamma=90.00
With the nearest neighbours (Å) after each atom.
Fractional positions:
Tl (0.0000, 0.0000, 0.5000)  2 Cd 2.58
Tl (0.0000, 0.5000, 0.0000)  2 Cd 2.58
Rh (0.5000, 0.0000, 0.0000)  2 Cd 2.46
W (0.5000, 0.5000, 0.5000)  8 Tl 3.56, 4 Rh 3.65
Cd (0.0000, 0.0000, 0.0000)  2 Rh 2.46, 4 Tl 2.58

Computed properties:
Raw total energy = -3.673 eV per atom
ΔH_f (0 K) = 2.01 eV per atom
Calculated density = 10.27 g/cm³
Magnetic moment = 3.57 μB/f.u.
Fermi-level density of states = 3.84 states/eV per cell